Material: PrEuZnCu
Method: DFT, PBE-GGA
State: relaxed

Mass density = 7.0 g/cm³
Formation energy = -3.95 kcal/mol of atoms
DFT total energy = -5.277 eV/atom
Space-group type = F-43m (216)

Cell: 7.362 7.362 7.362 Å, 90.00 90.00 90.00°
Positions (direct):
Pr1 0.000 0.000 0.000
Pr2 0.000 0.500 0.500
Pr3 0.500 0.000 0.500
Pr4 0.500 0.500 0.000
Eu1 0.000 0.000 0.500
Eu2 0.000 0.500 0.000
Eu3 0.500 0.000 0.000
Eu4 0.500 0.500 0.500
Zn1 0.250 0.250 0.750
Zn2 0.250 0.750 0.250
Zn3 0.750 0.250 0.250
Zn4 0.750 0.750 0.750
Cu1 0.250 0.250 0.250
Cu2 0.250 0.750 0.750
Cu3 0.750 0.250 0.750
Cu4 0.750 0.750 0.250



Material: SmDy5Er4
Method: DFT, PBE-GGA
State: relaxed

Mass density = 8.4 g/cm³
Formation energy = 7.08 kcal/mol of atoms
DFT total energy = -4.291 eV/atom
Space-group type = I4 (79)

Cell: 7.822 7.822 7.822 Å, 99.29 99.29 132.63°
Positions (direct):
Sm1 0.000 0.000 0.000
Dy1 0.456 0.456 0.000
Dy2 0.494 0.872 0.911
Dy3 0.583 0.494 0.622
Dy4 0.872 0.961 0.378
Dy5 0.961 0.583 0.089
Er1 0.180 0.882 0.603
Er2 0.279 0.577 0.397
Er3 0.577 0.180 0.298
Er4 0.882 0.279 0.702



What is the formula in the first record?
PrEuZnCu